First-principles (GGA-PBE) data for a relaxed structure of YReAu2, as listed in Alexandria.

Output
E above lowest polymorph	0.0000	eV/atom
total magnetization	0.005	μB/f.u.
DOS at the Fermi energy	4.1	states/eV per cell
ΔH_f (0 K)	10	kJ/mol of formula units

The structure in CIF format:
```
data_YReAu2
_chemical_formula_sum 'Y1 Re1 Au2'
_cell_length_a 4.323
_cell_length_b 4.323
_cell_length_c 4.059
_cell_angle_alpha 90.00
_cell_angle_beta 90.00
_cell_angle_gamma 90.00
_symmetry_space_group_name_H-M 'P 4/m m m'
_symmetry_Int_Tables_number 123
_symmetry_space_group_name_Hall '-P 4 2'
loop_
_atom_site_label
_atom_site_fract_x
_atom_site_fract_y
_atom_site_fract_z
Y1 0.000 0.000 0.000
Re1 0.500 0.500 0.000
Au1 0.000 0.500 0.500
```

---

First-principles (GGA-PBE) data for a relaxed structure of Tb3NbPt12, as listed in Alexandria.

Output
total magnetization	0.000	μB/f.u.
DOS at the Fermi energy	9.5	states/eV per cell
ΔH_f (0 K)	-1450	kJ/mol of formula units

The structure in CIF format:
```
data_Tb3NbPt12
_chemical_formula_sum 'Tb3 Nb1 Pt12'
_cell_length_a 4.094
_cell_length_b 4.094
_cell_length_c 16.426
_cell_angle_alpha 90.00
_cell_angle_beta 90.00
_cell_angle_gamma 90.00
_symmetry_space_group_name_H-M 'P 4/m m m'
_symmetry_Int_Tables_number 123
_symmetry_space_group_name_Hall '-P 4 2'
loop_
_atom_site_label
_atom_site_fract_x
_atom_site_fract_y
_atom_site_fract_z
Tb1 0.000 0.000 0.000
Tb2 0.000 0.000 0.251
Nb1 0.000 0.000 0.500
Pt1 0.000 0.500 0.127
Pt2 0.000 0.500 0.385
Pt3 0.500 0.500 0.000
Pt4 0.500 0.500 0.256
Pt5 0.500 0.500 0.500
```

---

First-principles (GGA-PBE) data for a relaxed structure of UHgBr3, as listed in Alexandria.

Output
E above lowest polymorph	0.0000	eV/atom
formation energy (no corrections)	-22.95	kcal/mol of atoms
total magnetization	3.000	μB/f.u.
DOS at the Fermi energy	14.5	states/eV per cell

The structure in CIF format:
```
data_UHgBr3
_chemical_formula_sum 'U6 Hg6 Br18'
_cell_length_a 7.3144
_cell_length_b 7.3144
_cell_length_c 30.1963
_cell_angle_alpha 90.00
_cell_angle_beta 90.00
_cell_angle_gamma 120.00
_symmetry_space_group_name_H-M 'R -3'
_symmetry_Int_Tables_number 148
_symmetry_space_group_name_Hall '-R 3'
loop_
_atom_site_label
_atom_site_fract_x
_atom_site_fract_y
_atom_site_fract_z
U1 0.0000 0.0000 0.1669
Hg1 0.0000 0.0000 0.3369
Br1 0.0010 0.6435 0.5552
```

---

First-principles (GGA-PBE) data for a relaxed structure of SmSc5S6, as listed in Alexandria.

Output
formation energy (no corrections)	-43.30	kcal/mol of atoms
total magnetization	0.000	μB/f.u.
DOS at the Fermi energy	11.4	states/eV per cell

The structure in CIF format:
```
data_SmSc5S6
_chemical_formula_sum 'Sm2 Sc10 S12'
_cell_length_a 6.484
_cell_length_b 11.258
_cell_length_c 6.494
_cell_angle_alpha 90.00
_cell_angle_beta 109.47
_cell_angle_gamma 90.00
_symmetry_space_group_name_H-M 'C 1 2/m 1'
_symmetry_Int_Tables_number 12
loop_
_symmetry_equiv_pos_as_xyz
'x,y,z'
'-x,-y,-z'
'-x,y,-z'
'x,-y,z'
'x+1/2,y+1/2,z'
'-x+1/2,-y+1/2,-z'
'-x+1/2,y+1/2,-z'
'x+1/2,-y+1/2,z'
loop_
_atom_site_label
_atom_site_fract_x
_atom_site_fract_y
_atom_site_fract_z
Sm1 0.000 0.000 0.000
Sc1 0.000 0.159 0.500
Sc2 0.000 0.336 0.000
Sc3 0.000 0.500 0.500
S1 0.237 0.500 0.256
S2 0.239 0.325 0.741
```

---

First-principles (GGA-PBE) data for a relaxed structure of SmHoSiAu, as listed in Alexandria.

Output
formation energy (no corrections)	-14.81	kcal/mol of atoms
total magnetization	0.483	μB/f.u.
DOS at the Fermi energy	15.2	states/eV per cell

The structure in CIF format:
```
data_SmHoSiAu
_chemical_formula_sum 'Sm4 Ho4 Si4 Au4'
_cell_length_a 7.199
_cell_length_b 7.199
_cell_length_c 7.199
_cell_angle_alpha 90.00
_cell_angle_beta 90.00
_cell_angle_gamma 90.00
_symmetry_space_group_name_H-M 'F -4 3 m'
_symmetry_Int_Tables_number 216
_symmetry_space_group_name_Hall 'F -4 2 3'
loop_
_atom_site_label
_atom_site_fract_x
_atom_site_fract_y
_atom_site_fract_z
Sm1 0.000 0.000 0.000
Ho1 0.000 0.000 0.500
Si1 0.250 0.250 0.750
Au1 0.250 0.250 0.250
```

---

- Which of these has the highest total magnetization?
  UHgBr3

---

Repeat the first record exactly.
First-principles (GGA-PBE) data for a relaxed structure of YReAu2, as listed in Alexandria.

Output
E above lowest polymorph	0.0000	eV/atom
total magnetization	0.005	μB/f.u.
DOS at the Fermi energy	4.1	states/eV per cell
ΔH_f (0 K)	10	kJ/mol of formula units

The structure in CIF format:
```
data_YReAu2
_chemical_formula_sum 'Y1 Re1 Au2'
_cell_length_a 4.323
_cell_length_b 4.323
_cell_length_c 4.059
_cell_angle_alpha 90.00
_cell_angle_beta 90.00
_cell_angle_gamma 90.00
_symmetry_space_group_name_H-M 'P 4/m m m'
_symmetry_Int_Tables_number 123
_symmetry_space_group_name_Hall '-P 4 2'
loop_
_atom_site_label
_atom_site_fract_x
_atom_site_fract_y
_atom_site_fract_z
Y1 0.000 0.000 0.000
Re1 0.500 0.500 0.000
Au1 0.000 0.500 0.500
```

---

- The highest total magnetization belongs to which entry?
  UHgBr3